(1)
DFT (PBE) results for CaIr4 after structural relaxation.

Values from the calculation:
distance to the lowest polymorph of the same formula: 0.0 meV per atom
energy of formation from the pure elements: 23 meV/atom
E: -7.4657 eV/atom

The structure in POSCAR format:
```
CaIr4
1.0
-2.5299 -3.9327 4.1377
-6.0396 -0.1196 1.5798
3.7683 0.1298 -4.9770
Ir Ca
4 1
direct
0.7500 0.2500 0.5000
0.3940 0.3940 0.0000
0.6060 0.6060 0.0000
0.2500 0.7500 0.5000
0.0000 0.0000 0.0000
```


(2)
DFT (PBE) results for CaIr4 after structural relaxation.

Values from the calculation:
distance to the lowest polymorph of the same formula: 2676.0 meV per atom
energy of formation from the pure elements: 2699 meV/atom
E: -4.7897 eV/atom

The structure in POSCAR format:
```
CaIr4
1.0
-3.1298 2.7120 -2.0812
-2.4342 0.2131 3.9384
2.4002 3.7525 1.2804
Ir Ca
4 1
direct
0.0000 0.5000 0.5000
0.0000 0.0000 0.0000
0.5000 0.0000 0.5000
0.5000 0.5000 0.0000
0.5000 0.5000 0.5000
```


(3)
DFT (PBE) results for CaIr3 after structural relaxation.

Values from the calculation:
energy of formation from the pure elements: 36 meV/atom
E: -7.1102 eV/atom

The structure in POSCAR format:
```
CaIr3
1.0
-1.2648 0.2395 4.7718
-3.4625 -0.8665 3.4186
1.4441 -4.6597 1.4633
Ir Ca
3 1
direct
0.7606 0.7606 0.7124
0.5000 0.5000 0.5000
0.2394 0.2394 0.2876
0.0000 0.0000 0.0000
```


(4)
DFT (PBE) results for CaIr3 after structural relaxation.

Values from the calculation:
energy of formation from the pure elements: 76 meV/atom
E: -7.0703 eV/atom

The structure in POSCAR format:
```
CaIr3
1.0
5.8160 -0.0018 -0.0025
3.2493 4.8237 0.0025
-3.9306 -3.5428 2.4135
Ir Ca
3 1
direct
0.5000 0.5000 0.0000
0.2791 0.7791 0.5000
0.7209 0.2209 0.5000
0.0000 0.0000 0.0000
```


(5)
DFT (PBE) results for CaIr5 after structural relaxation.

Values from the calculation:
energy of formation from the pure elements: 240 meV/atom
E: -7.4779 eV/atom

The structure in POSCAR format:
```
CaIr5
1.0
0.0000 3.6996 3.6996
3.6996 0.0000 3.6996
3.6996 3.6996 0.0000
Ir Ca
5 1
direct
0.6245 0.6245 0.6245
0.2500 0.2500 0.2500
0.1264 0.6245 0.6245
0.6245 0.6245 0.1264
0.6245 0.1264 0.6245
0.0000 0.0000 0.0000
```


(6)
DFT (PBE) results for Ca3Ir after structural relaxation.

Values from the calculation:
energy of formation from the pure elements: 27 meV/atom
E: -3.6898 eV/atom

The structure in POSCAR format:
```
Ca3Ir
1.0
4.7047 0.0000 0.0000
0.0000 4.7047 0.0000
0.0000 0.0000 4.7047
Ir Ca
1 3
direct
0.0000 0.0000 0.0000
0.5000 0.5000 0.0000
0.0000 0.5000 0.5000
0.5000 0.0000 0.5000
```


(7)
DFT (PBE) results for CaIr3 after structural relaxation.

Values from the calculation:
energy of formation from the pure elements: 11 meV/atom
E: -7.1348 eV/atom

The structure in POSCAR format:
```
CaIr3
1.0
-3.0416 2.0226 -1.9511
-0.5869 -4.2247 -3.4646
-4.5062 -2.7754 4.1477
Ir Ca
6 2
direct
0.0000 0.2633 0.1331
0.0000 0.5000 0.7878
0.5000 0.0000 0.2122
0.5000 0.2367 0.8669
0.0000 0.7367 0.1331
0.5000 0.7633 0.8669
0.5000 0.5000 0.4284
0.0000 0.0000 0.5716
```


(8)
DFT (PBE) results for Ca3Ir after structural relaxation.

Values from the calculation:
energy of formation from the pure elements: -179 meV/atom
E: -3.8952 eV/atom

The structure in POSCAR format:
```
Ca3Ir
1.0
-0.7117 3.9363 -0.1443
-6.3591 -1.1633 -0.3678
3.2395 -1.2664 4.9917
Ca Ir
3 1
direct
0.5000 0.3600 0.0000
0.3158 0.6878 0.6315
0.6842 0.0562 0.3685
0.0000 0.0626 0.0000
```


Number 1: D(E_F) 6.9 states/eV per cell. Number 2: D(E_F) 9.6 states/eV per cell. Number 3: D(E_F) 3.8 states/eV per cell. Number 4: D(E_F) 4.1 states/eV per cell. Number 5: D(E_F) 12.8 states/eV per cell. Number 6: D(E_F) 3.5 states/eV per cell. Number 7: D(E_F) 7.0 states/eV per cell. Number 8: D(E_F) 2.1 states/eV per cell.